1.
VASP calculation (PBE) on an optimized crystal structure of La5PmNd5.

Cell lengths 10.1186, 10.1186, 7.1760 Å; angles 109.32, 109.32, 35.74 degrees
Last column: nearest neighbours and their distance in Å.
Fractional positions:
La 0.0000 0.0000 0.0000  2 Nd 3.06, 2 Pm 3.10
La 0.3251 0.3251 0.5846  6 Nd 3.38-3.75, 2 La 3.48-3.69, 1 Pm 3.64
La 0.3264 0.3264 0.0713  6 Nd 3.37-3.69, 2 La 3.48-3.69, 1 Pm 3.56
La 0.6736 0.6736 0.9287  6 Nd 3.37-3.69, 2 La 3.48-3.69, 1 Pm 3.56
La 0.6749 0.6749 0.4154  6 Nd 3.38-3.75, 2 La 3.48-3.69, 1 Pm 3.64
Pm 0.5000 0.5000 0.0000  2 La 3.10
Nd 0.1252 0.1252 0.6343  4 Nd 3.66-3.84, 6 La 3.69-4.05
Nd 0.1694 0.1694 0.1780  3 La 3.06-3.38
Nd 0.5000 0.5000 0.5000  2 Pm 3.59, 4 La 3.63-3.67, 4 Nd 3.84
Nd 0.8306 0.8306 0.8220  3 La 3.06-3.38
Nd 0.8748 0.8748 0.3657  4 Nd 3.66-3.84, 6 La 3.69-4.05

N(E_F) = 1.74 states/eV/atom
VASP energy = -0.1702 hartree per atom
Formation enthalpy at 0 K = 2.28 eV/f.u.
Total moment = 0.0 μB/f.u.

***

2.
VASP calculation (PBE) on an optimized crystal structure of La6Pm5Nd.

Cell lengths 8.3404, 8.3404, 10.3085 Å; angles 90.03, 90.03, 143.27 degrees
Last column: nearest neighbours and their distance in Å.
Fractional positions:
La 0.0000 0.0000 0.2494  6 Pm 3.67-3.69, 2 Nd 3.68-3.69, 4 La 3.72
La 0.0000 0.0000 0.7506  6 Pm 3.67-3.69, 2 Nd 3.68-3.69, 4 La 3.72
La 0.3333 0.6668 0.2497  7 Pm 3.68-3.69, 1 Nd 3.69, 4 La 3.72
La 0.3332 0.6667 0.7503  7 Pm 3.68-3.69, 1 Nd 3.69, 4 La 3.72
La 0.6668 0.3333 0.2497  7 Pm 3.68-3.69, 1 Nd 3.69, 4 La 3.72
La 0.6667 0.3332 0.7503  7 Pm 3.68-3.69, 1 Nd 3.69, 4 La 3.72
Pm 0.1666 0.8334 0.0000  8 La 3.68-3.69, 4 Pm 3.72-3.73
Pm 0.1669 0.8331 0.5000  8 La 3.68-3.69, 2 Pm 3.72, 2 Nd 3.73
Pm 0.5000 0.5000 0.0000  8 La 3.67-3.69, 4 Pm 3.72
Pm 0.8334 0.1666 0.0000  8 La 3.68-3.69, 4 Pm 3.72-3.73
Pm 0.8331 0.1669 0.5000  8 La 3.68-3.69, 2 Pm 3.72, 2 Nd 3.73
Nd 0.5000 0.5000 0.5000  8 La 3.68-3.69, 4 Pm 3.73

N(E_F) = 1.71 states/eV/atom
VASP energy = -0.1773 hartree per atom
Formation enthalpy at 0 K = 0.18 eV/f.u.
Total moment = 0.0 μB/f.u.

***

3.
VASP calculation (PBE) on an optimized crystal structure of LaPm6Nd8.

Cell lengths 8.7429, 8.7429, 8.7429 Å; angles 65.82, 65.82, 65.82 degrees
Last column: nearest neighbours and their distance in Å.
Fractional positions:
La 0.0000 0.0000 0.0000  6 Pm 3.57, 6 Nd 3.94
Pm 0.1057 0.2663 0.5559  3 Nd 3.25-3.57, 1 La 3.57, 1 Pm 3.62
Pm 0.2663 0.5559 0.1057  3 Nd 3.25-3.57, 1 La 3.57, 1 Pm 3.62
Pm 0.4441 0.8943 0.7337  3 Nd 3.25-3.57, 1 La 3.57, 1 Pm 3.62
Pm 0.5559 0.1057 0.2663  3 Nd 3.25-3.57, 1 La 3.57, 1 Pm 3.62
Pm 0.7337 0.4441 0.8943  3 Nd 3.25-3.57, 1 La 3.57, 1 Pm 3.62
Pm 0.8943 0.7337 0.4441  3 Nd 3.25-3.57, 1 La 3.57, 1 Pm 3.62
Nd 0.0826 0.6545 0.7725  7 Nd 3.51-3.86, 3 Pm 3.53-3.76
Nd 0.2275 0.9174 0.3455  7 Nd 3.51-3.86, 3 Pm 3.53-3.76
Nd 0.3455 0.2275 0.9174  7 Nd 3.51-3.86, 3 Pm 3.53-3.76
Nd 0.4278 0.4278 0.4278  1 Nd 2.95, 3 Pm 3.25
Nd 0.5722 0.5722 0.5722  1 Nd 2.95, 3 Pm 3.25
Nd 0.6545 0.7725 0.0826  7 Nd 3.51-3.86, 3 Pm 3.53-3.76
Nd 0.7725 0.0826 0.6545  7 Nd 3.51-3.86, 3 Pm 3.53-3.76
Nd 0.9174 0.3455 0.2275  7 Nd 3.51-3.86, 3 Pm 3.53-3.76

N(E_F) = 1.55 states/eV/atom
VASP energy = -0.1701 hartree per atom
Formation enthalpy at 0 K = 2.14 eV/f.u.
Total moment = 0.0 μB/f.u.